Density functional theory data (PBE) for crystalline RbSn at its relaxed geometry.

As for the crystal system: triclinic. The calculation puts the electronic total energy at -2.651 eV/atom. The calculation puts the energy of formation from the pure elements at -0.166 eV/atom.

Lattice parameters (Å, degrees): 4.6336 7.0278 7.0405 103.93 109.18 109.16
Last column: nearest neighbours and their distance in Å.
Space group P1 (No. 1)
Symmetry-distinct sites (fractional):
Rb (0.0000, 0.0000, 0.0000) x1  6 Sn 3.78-4.19, 1 Rb 4.08
Rb (0.9997, 0.3679, 0.6315) x1  6 Sn 3.78-4.22, 1 Rb 4.08
Sn (0.2022, 0.8848, 0.5175) x1  2 Sn 2.87
Sn (0.4712, 0.6551, 0.2839) x1  2 Sn 2.87


Density functional theory data (PBE) for crystalline Hg5Pt3 at its relaxed geometry.

As for the crystal system: hexagonal. The calculation puts the electronic total energy at -2.351 eV/atom. The calculation puts the energy of formation from the pure elements at 0.103 eV/atom.

Lattice parameters (Å, degrees): 7.8305 7.8305 6.2389 90.00 90.00 120.00
Last column: nearest neighbours and their distance in Å.
Space group P6_3/mcm (No. 193)
Symmetry-distinct sites (fractional):
Hg (0.0000, 0.2320, 0.2500) x6  3 Pt 2.75-2.85
Hg (0.3333, 0.6667, 0.0000) x4  6 Pt 2.85, 2 Hg 3.12
Pt (0.0000, 0.4039, 0.7500) x6  7 Hg 2.75-2.85


Density functional theory data (PBE) for crystalline NdGaSi at its relaxed geometry.

As for the crystal system: tetragonal. For the formation energy (no corrections), the calculation gives 0.280 eV/atom. The calculation puts the electronic total energy at -4.126 eV/atom.

Lattice parameters (Å, degrees): 3.1418 3.1418 15.1465 90.00 90.00 90.00
Last column: nearest neighbours and their distance in Å.
Space group I4mm (No. 107)
Symmetry-distinct sites (fractional):
Nd (0.0000, 0.0000, 0.0000) x2  1 Si 2.90, 4 Nd 3.14, 4 Ga 3.17
Ga (0.0000, 0.0000, 0.6491) x2  1 Si 2.42
Si (0.0000, 0.0000, 0.8089) x2  1 Ga 2.42


Density functional theory data (PBE) for crystalline Ac3SiS6 at its relaxed geometry.

As for the crystal system: orthorhombic. For the formation energy (no corrections), the calculation gives -1.703 eV/atom. The calculation puts the electronic total energy at -5.954 eV/atom.

Lattice parameters (Å, degrees): 11.4392 14.2486 6.9702 90.00 90.00 90.00
Last column: nearest neighbours and their distance in Å.
Space group Cmc2_1 (No. 36)
Symmetry-distinct sites (fractional):
Ac (0.0000, 0.1067, 0.0000) x4  6 S 2.95-3.14
Ac (0.1851, 0.3980, 0.9453) x8  6 S 2.88-3.23
Si (0.0000, 0.3049, 0.3902) x4  4 S 2.20-2.25
S (0.0000, 0.2913, 0.7118) x4  1 Si 2.25
S (0.0000, 0.4516, 0.2800) x4  1 Si 2.23
S (0.1534, 0.2433, 0.2486) x8  1 Si 2.20
S (0.1589, 0.0176, 0.7207) x8  4 Ac 2.88-2.97


Density functional theory data (PBE) for crystalline V3TcMo2 at its relaxed geometry.

As for the crystal system: orthorhombic. The calculation puts the electronic total energy at -10.125 eV/atom. The calculation puts the energy of formation from the pure elements at -0.228 eV/atom.

Lattice parameters (Å, degrees): 4.3187 12.9726 6.1223 90.00 90.00 90.00
Last column: nearest neighbours and their distance in Å.
Space group Cmmm (No. 65)
Symmetry-distinct sites (fractional):
V (0.0000, 0.0000, 0.2479) x4  6 Mo 2.64-2.66, 2 Tc 2.64
V (0.0000, 0.3326, 0.2478) x8  3 Tc 2.63-2.64, 5 Mo 2.65-2.66
Tc (0.0000, 0.1669, 0.0000) x4  8 V 2.63-2.64
Mo (0.0000, 0.1669, 0.5000) x4  8 V 2.65-2.66
Mo (0.0000, 0.5000, 0.0000) x2  8 V 2.64-2.65
Mo (0.0000, 0.5000, 0.5000) x2  8 V 2.65-2.66


Density functional theory data (PBE) for crystalline AcNb4N6 at its relaxed geometry.

As for the crystal system: orthorhombic. For the formation energy (no corrections), the calculation gives -1.013 eV/atom. The calculation puts the electronic total energy at -9.589 eV/atom.

Lattice parameters (Å, degrees): 3.2348 10.4919 16.0382 90.00 90.00 90.00
Last column: nearest neighbours and their distance in Å.
Space group Cmcm (No. 63)
Symmetry-distinct sites (fractional):
Ac (0.0000, 0.1535, 0.2500) x4  8 N 2.62-2.81
Nb (0.0000, 0.1033, 0.6262) x8  5 N 2.04-2.21
Nb (0.0000, 0.3532, 0.5424) x8  6 N 2.11-2.33
N (0.0000, 0.0000, 0.0000) x4  6 Nb 2.30-2.33
N (0.0000, 0.1469, 0.7500) x4  2 Nb 2.04
N (0.0000, 0.2643, 0.0907) x8  5 Nb 2.18-2.33
N (0.0000, 0.4692, 0.6497) x8  3 Nb 2.11-2.18


Density functional theory data (PBE) for crystalline HoNpP2 at its relaxed geometry.

As for the crystal system: trigonal. The calculation puts the electronic total energy at -8.323 eV/atom. The calculation puts the energy of formation from the pure elements at -1.239 eV/atom.

Lattice parameters (Å, degrees): 3.9682 3.9682 19.4404 90.00 90.00 120.00
Last column: nearest neighbours and their distance in Å.
Space group R-3m (No. 166, hexagonal axes)
Symmetry-distinct sites (fractional):
Ho (0.0000, 0.0000, 0.0000) x3  6 P 2.82
Np (0.0000, 0.0000, 0.5000) x3  6 P 2.79
P (0.0000, 0.0000, 0.2483) x6  3 Np 2.79, 3 Ho 2.82


Density functional theory data (PBE) for crystalline Nb2AlAg at its relaxed geometry.

As for the crystal system: tetragonal. The calculation puts the electronic total energy at -6.238 eV/atom. The calculation puts the energy of formation from the pure elements at 0.445 eV/atom.

Lattice parameters (Å, degrees): 7.4973 7.4973 5.3260 90.00 90.00 90.00
Last column: nearest neighbours and their distance in Å.
Space group I-42d (No. 122)
Symmetry-distinct sites (fractional):
Nb (0.2454, 0.2500, 0.1250) x8  2 Nb 2.66, 2 Al 2.71, 2 Ag 2.76
Al (0.0000, 0.0000, 0.0000) x4  2 Ag 2.66, 4 Nb 2.71
Ag (0.0000, 0.0000, 0.5000) x4  2 Al 2.66, 4 Nb 2.76


Density functional theory data (PBE) for crystalline KZr2Fe at its relaxed geometry.

As for the crystal system: tetragonal. The calculation puts the electronic total energy at -5.611 eV/atom. The calculation puts the energy of formation from the pure elements at 1.053 eV/atom.

Lattice parameters (Å, degrees): 7.4215 7.4215 10.5517 90.00 90.00 90.00
Last column: nearest neighbours and their distance in Å.
Space group I4_1/amd (No. 141, origin choice 2)
Symmetry-distinct sites (fractional):
K (0.0000, 0.2500, 0.3750) x4  12 Zr 4.35-4.37, 4 Fe 4.55, 4 K 4.55
Zr (0.0000, 0.0000, 0.0000) x8  2 Fe 2.28
Fe (0.0000, 0.2500, 0.8750) x4  4 Zr 2.28


Density functional theory data (PBE) for crystalline AcMoAs3 at its relaxed geometry.

As for the crystal system: cubic. The calculation puts the electronic total energy at -6.131 eV/atom. The calculation puts the energy of formation from the pure elements at -0.353 eV/atom.

Lattice parameters (Å, degrees): 4.9591 4.9591 4.9591 90.00 90.00 90.00
Last column: nearest neighbours and their distance in Å.
Space group Pm-3m (No. 221)
Symmetry-distinct sites (fractional):
Ac (0.0000, 0.0000, 0.0000) x1  12 As 3.51
Mo (0.5000, 0.5000, 0.5000) x1  6 As 2.48
As (0.0000, 0.5000, 0.5000) x3  2 Mo 2.48


Number 1: theoretical density 3.6 g/cm3, DOS at the Fermi energy 1.92 states/eV per cell. Number 2: theoretical density 15.9 g/cm3, DOS at the Fermi energy 5.40 states/eV per cell. Number 3: theoretical density 5.4 g/cm3, DOS at the Fermi energy 5.66 states/eV per cell. Number 4: theoretical density 5.3 g/cm3, DOS at the Fermi energy 17.28 states/eV per cell. Number 5: theoretical density 8.6 g/cm3, DOS at the Fermi energy 12.80 states/eV per cell. Number 6: theoretical density 8.3 g/cm3, DOS at the Fermi energy 7.90 states/eV per cell. Number 7: theoretical density 8.7 g/cm3, DOS at the Fermi energy 24.96 states/eV per cell. Number 8: theoretical density 7.1 g/cm3, DOS at the Fermi energy 8.89 states/eV per cell. Number 9: theoretical density 3.2 g/cm3, DOS at the Fermi energy 35.11 states/eV per cell. Number 10: theoretical density 7.5 g/cm3, DOS at the Fermi energy 6.82 states/eV per cell.